# 1
# Tl8S3F2 GGA-PBE optimized geometry
data_Tl8S3F2
_cell_length_a 7.347
_cell_length_b 8.604
_cell_length_c 7.806
_cell_angle_alpha 123.44
_cell_angle_beta 85.54
_cell_angle_gamma 90.00
_space_group_name_H-M_alt 'P 1'
_space_group_IT_number 1
_space_group_name_Hall 'P 1'
loop_
_atom_site_label
_atom_site_type_symbol
_atom_site_fract_x
_atom_site_fract_y
_atom_site_fract_z
Tl1 Tl 0.180 0.865 0.731
F1 F 0.843 0.769 0.539
F2 F 0.157 0.231 0.461
Tl2 Tl 0.820 0.135 0.269
S1 S 0.500 0.000 0.000
Tl3 Tl 0.305 0.366 0.270
Tl4 Tl 0.305 0.904 0.270
Tl5 Tl 0.756 0.587 0.174
Tl6 Tl 0.695 0.096 0.730
S2 S 0.000 0.747 0.000
Tl7 Tl 0.244 0.413 0.826
S3 S 0.000 0.253 0.000
Tl8 Tl 0.695 0.634 0.730
# formation energy from raw total energies	-0.752	eV/atom



# 2
# TlSF GGA-PBE optimized geometry
data_TlSF
_cell_length_a 3.673
_cell_length_b 7.843
_cell_length_c 10.813
_cell_angle_alpha 83.79
_cell_angle_beta 90.00
_cell_angle_gamma 90.00
_space_group_name_H-M_alt 'P 1'
_space_group_IT_number 1
_space_group_name_Hall 'P 1'
loop_
_atom_site_label
_atom_site_type_symbol
_atom_site_fract_x
_atom_site_fract_y
_atom_site_fract_z
Tl1 Tl 0.750 0.854 0.646
F1 F 0.250 0.612 0.585
S1 S 0.283 0.933 0.027
S2 S 0.717 0.067 0.973
S3 S 0.217 0.433 0.027
F2 F 0.750 0.888 0.415
Tl2 Tl 0.250 0.646 0.354
Tl3 Tl 0.250 0.146 0.354
F3 F 0.750 0.388 0.415
F4 F 0.250 0.112 0.585
S4 S 0.783 0.567 0.973
Tl4 Tl 0.750 0.354 0.646
# formation energy from raw total energies	-1.054	eV/atom
# Fermi-level density of states	1.10	states/eV/cell



# 3
# Tl2S2F GGA-PBE optimized geometry
data_Tl2S2F
_cell_length_a 3.523
_cell_length_b 7.097
_cell_length_c 12.166
_cell_angle_alpha 90.00
_cell_angle_beta 90.00
_cell_angle_gamma 104.37
_space_group_name_H-M_alt 'P 1'
_space_group_IT_number 1
_space_group_name_Hall 'P 1'
loop_
_atom_site_label
_atom_site_type_symbol
_atom_site_fract_x
_atom_site_fract_y
_atom_site_fract_z
S1 S 0.214 0.428 0.749
Tl1 Tl 0.004 0.009 0.323
S2 S 0.786 0.572 0.249
S3 S 0.700 0.401 0.380
F1 F 0.450 0.900 0.462
F2 F 0.550 0.100 0.962
Tl2 Tl 0.837 0.674 0.570
Tl3 Tl 0.163 0.326 0.070
Tl4 Tl 0.996 0.991 0.823
S4 S 0.300 0.599 0.880
# formation energy from raw total energies	-0.697	eV/atom
# Fermi-level density of states	2.78	states/eV/cell



# 4
# Tl4SF2 GGA-PBE optimized geometry
data_Tl4SF2
_cell_length_a 4.122
_cell_length_b 6.951
_cell_length_c 13.565
_cell_angle_alpha 90.00
_cell_angle_beta 90.00
_cell_angle_gamma 107.25
_space_group_name_H-M_alt 'P 1'
_space_group_IT_number 1
_space_group_name_Hall 'P 1'
loop_
_atom_site_label
_atom_site_type_symbol
_atom_site_fract_x
_atom_site_fract_y
_atom_site_fract_z
Tl1 Tl 0.500 0.000 0.500
Tl2 Tl 0.064 0.127 0.250
F1 F 0.866 0.733 0.538
Tl3 Tl 0.500 0.000 0.000
Tl4 Tl 0.224 0.449 0.875
F2 F 0.134 0.267 0.038
F3 F 0.866 0.733 0.962
F4 F 0.134 0.267 0.462
Tl5 Tl 0.936 0.873 0.750
S1 S 0.590 0.180 0.750
S2 S 0.410 0.820 0.250
Tl6 Tl 0.776 0.551 0.125
Tl7 Tl 0.224 0.449 0.625
Tl8 Tl 0.776 0.551 0.375
# formation energy from raw total energies	-1.094	eV/atom



# 5
# Tl3SF GGA-PBE optimized geometry
data_Tl3SF
_cell_length_a 4.110
_cell_length_b 7.009
_cell_length_c 11.243
_cell_angle_alpha 73.74
_cell_angle_beta 90.00
_cell_angle_gamma 90.00
_space_group_name_H-M_alt 'P 1'
_space_group_IT_number 1
_space_group_name_Hall 'P 1'
loop_
_atom_site_label
_atom_site_type_symbol
_atom_site_fract_x
_atom_site_fract_y
_atom_site_fract_z
S1 S 0.250 0.510 0.827
Tl1 Tl 0.250 0.971 0.667
F1 F 0.250 0.154 0.426
Tl2 Tl 0.250 0.528 0.348
Tl3 Tl 0.750 0.029 0.333
Tl4 Tl 0.750 0.472 0.652
F2 F 0.750 0.846 0.574
S2 S 0.750 0.490 0.173
Tl5 Tl 0.750 0.257 0.990
Tl6 Tl 0.250 0.743 0.010
# formation energy from raw total energies	-0.883	eV/atom



# 6
# TlSF4 GGA-PBE optimized geometry
data_TlSF4
_cell_length_a 7.416
_cell_length_b 7.540
_cell_length_c 8.720
_cell_angle_alpha 90.00
_cell_angle_beta 90.00
_cell_angle_gamma 88.04
_space_group_name_H-M_alt 'P 1'
_space_group_IT_number 1
_space_group_name_Hall 'P 1'
loop_
_atom_site_label
_atom_site_type_symbol
_atom_site_fract_x
_atom_site_fract_y
_atom_site_fract_z
S1 S 0.296 0.531 0.904
F1 F 0.195 0.567 0.079
F2 F 0.381 0.499 0.717
S2 S 0.796 0.031 0.596
F3 F 0.881 0.999 0.783
F4 F 0.355 0.837 0.330
F5 F 0.468 0.794 0.946
F6 F 0.855 0.337 0.170
F7 F 0.968 0.294 0.554
Tl1 Tl 0.229 0.434 0.411
F8 F 0.695 0.067 0.421
F9 F 0.032 0.706 0.446
Tl2 Tl 0.771 0.566 0.589
F10 F 0.645 0.163 0.670
F11 F 0.805 0.433 0.921
F12 F 0.532 0.206 0.054
Tl3 Tl 0.271 0.066 0.911
F13 F 0.145 0.663 0.830
Tl4 Tl 0.729 0.934 0.089
F14 F 0.619 0.501 0.283
F15 F 0.119 0.001 0.217
S3 S 0.704 0.469 0.096
S4 S 0.204 0.969 0.404
F16 F 0.305 0.933 0.579
# formation energy from raw total energies	-1.435	eV/atom



# 7
# Tl3SF GGA-PBE optimized geometry
data_Tl3SF
_cell_length_a 4.248
_cell_length_b 10.159
_cell_length_c 6.840
_cell_angle_alpha 101.20
_cell_angle_beta 90.00
_cell_angle_gamma 90.00
_space_group_name_H-M_alt 'P 1'
_space_group_IT_number 1
_space_group_name_Hall 'P 1'
loop_
_atom_site_label
_atom_site_type_symbol
_atom_site_fract_x
_atom_site_fract_y
_atom_site_fract_z
Tl1 Tl 0.750 0.348 0.032
F1 F 0.750 0.763 0.859
Tl2 Tl 0.750 0.655 0.484
F2 F 0.250 0.237 0.141
S1 S 0.750 0.182 0.646
Tl3 Tl 0.250 0.345 0.516
S2 S 0.250 0.818 0.354
Tl4 Tl 0.250 0.652 0.968
Tl5 Tl 0.750 0.996 0.227
Tl6 Tl 0.250 0.004 0.773
# formation energy from raw total energies	-0.876	eV/atom



# 8
# TlSF3 GGA-PBE optimized geometry
data_TlSF3
_cell_length_a 4.376
_cell_length_b 4.376
_cell_length_c 4.376
_cell_angle_alpha 90.00
_cell_angle_beta 90.00
_cell_angle_gamma 90.00
_space_group_name_H-M_alt 'P 1'
_space_group_IT_number 1
_space_group_name_Hall 'P 1'
loop_
_atom_site_label
_atom_site_type_symbol
_atom_site_fract_x
_atom_site_fract_y
_atom_site_fract_z
F1 F 0.000 0.500 0.000
F2 F 0.000 0.000 0.500
S1 S 0.000 0.000 0.000
Tl1 Tl 0.500 0.500 0.500
F3 F 0.500 0.000 0.000
# formation energy from raw total energies	-0.992	eV/atom
# Fermi-level density of states	1.26	states/eV/cell



# 9
# TlS3F GGA-PBE optimized geometry
data_TlS3F
_cell_length_a 4.563
_cell_length_b 4.563
_cell_length_c 4.563
_cell_angle_alpha 90.00
_cell_angle_beta 90.00
_cell_angle_gamma 90.00
_space_group_name_H-M_alt 'P 1'
_space_group_IT_number 1
_space_group_name_Hall 'P 1'
loop_
_atom_site_label
_atom_site_type_symbol
_atom_site_fract_x
_atom_site_fract_y
_atom_site_fract_z
F1 F 0.000 0.000 0.000
S1 S 0.500 0.000 0.000
S2 S 0.000 0.500 0.000
S3 S 0.000 0.000 0.500
Tl1 Tl 0.500 0.500 0.500
# formation energy from raw total energies	0.602	eV/atom
# Fermi-level density of states	3.41	states/eV/cell



# 10
# TlS3F GGA-PBE optimized geometry
data_TlS3F
_cell_length_a 8.239
_cell_length_b 4.592
_cell_length_c 12.601
_cell_angle_alpha 96.23
_cell_angle_beta 140.09
_cell_angle_gamma 83.88
_space_group_name_H-M_alt 'P 1'
_space_group_IT_number 1
_space_group_name_Hall 'P 1'
loop_
_atom_site_label
_atom_site_type_symbol
_atom_site_fract_x
_atom_site_fract_y
_atom_site_fract_z
S1 S 0.179 0.485 0.784
Tl1 Tl 0.038 0.170 0.027
F1 F 0.034 0.705 0.117
Tl2 Tl 0.413 0.731 0.420
S2 S 0.677 0.381 0.275
S3 S 0.999 0.144 0.467
S4 S 0.273 0.417 0.664
S5 S 0.774 0.521 0.172
F2 F 0.417 0.196 0.330
S6 S 0.452 0.758 0.981
# formation energy from raw total energies	-0.623	eV/atom
# Fermi-level density of states	0.00	states/eV/cell



# 11
# UTlS2F GGA-PBE optimized geometry
data_UTlS2F
_cell_length_a 4.542
_cell_length_b 5.319
_cell_length_c 5.319
_cell_angle_alpha 90.00
_cell_angle_beta 90.00
_cell_angle_gamma 90.00
_space_group_name_H-M_alt 'P 1'
_space_group_IT_number 1
_space_group_name_Hall 'P 1'
loop_
_atom_site_label
_atom_site_type_symbol
_atom_site_fract_x
_atom_site_fract_y
_atom_site_fract_z
U1 U 0.000 0.000 0.000
S1 S 0.000 0.500 0.000
Tl1 Tl 0.500 0.500 0.500
S2 S 0.000 0.000 0.500
F1 F 0.500 0.000 0.000
# formation energy from raw total energies	-1.591	eV/atom
# Fermi-level density of states	6.54	states/eV/cell



# 12
# YTlSF2 GGA-PBE optimized geometry
data_YTlSF2
_cell_length_a 4.495
_cell_length_b 4.495
_cell_length_c 5.419
_cell_angle_alpha 90.00
_cell_angle_beta 90.00
_cell_angle_gamma 90.00
_space_group_name_H-M_alt 'P 1'
_space_group_IT_number 1
_space_group_name_Hall 'P 1'
loop_
_atom_site_label
_atom_site_type_symbol
_atom_site_fract_x
_atom_site_fract_y
_atom_site_fract_z
S1 S 0.000 0.000 0.500
Tl1 Tl 0.500 0.500 0.500
F1 F 0.500 0.000 0.000
F2 F 0.000 0.500 0.000
Y1 Y 0.000 0.000 0.000
# formation energy from raw total energies	-2.577	eV/atom
# Fermi-level density of states	0.00	states/eV/cell



- What is the formation energy from raw total energies in the eleventh record?
  -1.591 eV/atom



- Which formula does entry 1 have?
  Tl8S3F2



Please write out number 8 again, unchanged.
# TlSF3 GGA-PBE optimized geometry
data_TlSF3
_cell_length_a 4.376
_cell_length_b 4.376
_cell_length_c 4.376
_cell_angle_alpha 90.00
_cell_angle_beta 90.00
_cell_angle_gamma 90.00
_space_group_name_H-M_alt 'P 1'
_space_group_IT_number 1
_space_group_name_Hall 'P 1'
loop_
_atom_site_label
_atom_site_type_symbol
_atom_site_fract_x
_atom_site_fract_y
_atom_site_fract_z
F1 F 0.000 0.500 0.000
F2 F 0.000 0.000 0.500
S1 S 0.000 0.000 0.000
Tl1 Tl 0.500 0.500 0.500
F3 F 0.500 0.000 0.000
# formation energy from raw total energies	-0.992	eV/atom
# Fermi-level density of states	1.26	states/eV/cell